11
Lattice="4.3463 0.0000 0.0000 0.0000 4.3463 0.0000 -2.1732 -2.1732 11.4233" Properties=species:S:1:pos:R:3 comment="Pm2Sc4Ge3H2 | Alexandria | PBE | optimized geometry" dft_energy_ev_per_atom=-5.7316 vol_a3_per_cell=216 pbc="T T T"
H 2.1732 2.1732 2.0962
Ge 0.0000 0.0000 0.0000
Sc 0.0000 2.1732 1.7706
Ge 0.0000 0.0000 3.7662
Sc 2.1732 0.0000 9.6527
Pm 0.0000 0.0000 6.8972
Sc 0.0000 2.1732 9.6527
Ge 2.1732 2.1732 7.6570
H 0.0000 0.0000 9.3271
Sc 2.1732 0.0000 1.7706
Pm 2.1732 2.1732 4.5261

8
Lattice="4.6830 0.0000 0.0000 0.0000 4.8599 0.0000 0.0000 0.0000 12.3988" Properties=species:S:1:pos:R:3 comment="K4CdAu3 | Alexandria | PBE | optimized geometry" ef_ev_per_atom=-0.269 dft_energy_ev_per_atom=-2.1609 vol_a3_per_cell=282 pbc="T T T"
K 2.3415 0.0000 7.8940
Au 0.0000 2.4299 7.0550
K 2.3415 2.4299 4.6074
Au 2.3415 0.0000 11.6243
Au 0.0000 0.0000 5.3653
K 0.0000 0.0000 1.9088
K 0.0000 2.4299 10.4273
Cd 2.3415 2.4299 0.7132

5
Lattice="3.6455 0.0000 0.0000 0.0000 3.6455 0.0000 1.8228 1.8228 6.6777" Properties=species:S:1:pos:R:3 comment="Sc2Al2Re | Alexandria | PBE | optimized geometry" ef_ev_per_atom=0.370 dft_energy_ev_per_atom=-6.1489 vol_a3_per_cell=89 pbc="T T T"
Re 0.0000 0.0000 0.0000
Sc 1.8228 3.6455 3.3389
Al 3.6455 3.6455 5.4846
Sc 3.6455 1.8228 3.3389
Al 1.8228 1.8228 1.1931

4
Lattice="-1.5639 -0.5853 2.6840 -1.7380 -2.1809 -1.4883 5.6665 -5.8922 2.0168" Properties=species:S:1:pos:R:3 comment="Mg2ScAg | Alexandria | PBE | optimized geometry" ef_ev_per_atom=-0.120 dft_energy_ev_per_atom=-3.2132 vol_a3_per_cell=84 pbc="T T T"
Mg 2.9998 -3.1193 1.0677
Ag 2.5989 -5.8023 2.1104
Mg 5.4999 -5.7190 1.9575
Sc -0.2344 -2.8562 1.1020